# 1
TaTl2Co: relaxed, PBE.

Results
total energy	-5.267	eV/atom
V	76.76	Å³/f.u.
M_tot	1.5	μB per cell

a = 9.222 Å, b = 9.222 Å, c = 9.222 Å
α = 19.55°, β = 19.55°, γ = 19.55°
Site moments in Bohr magnetons follow the coordinates.
Atoms (fractional coordinates):
Ta  0.250  0.250  0.250  0.13
Tl  0.492  0.492  0.492  -0.01
Tl  0.008  0.008  0.008  -0.01
Co  0.750  0.750  0.750  1.31

# 2
TaTl2Co: relaxed, PBE.

Results
total energy	-5.386	eV/atom
V	82.92	Å³/f.u.
M_tot	0.0	μB per cell

a = 6.295 Å, b = 6.295 Å, c = 6.295 Å
α = 151.27°, β = 135.94°, γ = 53.45°
Atoms (fractional coordinates):
Tl  0.717  0.217  0.500
Ta  0.309  0.809  0.500
Co  0.468  0.468  0.000
Tl  0.005  0.005  0.000